(1)
Here is crystalline Rb2PrDyS4 at its relaxed geometry from Alexandria. Energies are from PBE.

Size of the total moment: 0.0 μB per formula unit
Raw formation energy: -1.830 eV per atom
Space group: P2/m, No. 10

a = 4.169 Å, b = 7.225 Å, c = 8.079 Å
α = 107.31°, β = 90.00°, γ = 90.00°
Fractional coordinates of all 8 atoms:
Rb1 0.500 0.000 0.500
S1 0.500 0.241 0.197
Pr1 0.000 0.000 0.000
S2 0.000 0.722 0.193
Rb2 0.000 0.500 0.500
S3 0.000 0.278 0.807
Dy1 0.500 0.500 0.000
S4 0.500 0.759 0.803

***

(2)
Here is crystalline Rb4PrDy3Se8 at its relaxed geometry from Alexandria. Energies are from PBE.

Size of the total moment: 0.0 μB per formula unit
Raw formation energy: -1.734 eV per atom
Space group: R-3m, No. 166

a = 8.570 Å, b = 9.414 Å, c = 8.570 Å
α = 117.09°, β = 120.00°, γ = 90.00°
Fractional coordinates of all 16 atoms:
Se1 0.763 0.302 0.039
Se2 0.732 0.694 0.463
Se3 0.276 0.302 0.039
Dy1 0.000 0.500 0.500
Rb1 0.000 0.000 0.000
Se4 0.763 0.302 0.526
Se5 0.724 0.698 0.961
Se6 0.237 0.698 0.474
Pr1 0.000 0.500 0.000
Rb2 0.000 0.000 0.500
Rb3 0.500 0.000 0.000
Dy2 0.500 0.500 0.500
Rb4 0.500 0.000 0.500
Se7 0.268 0.306 0.537
Dy3 0.500 0.500 0.000
Se8 0.237 0.698 0.961

***

(3)
Here is crystalline Rb3PrDy2Se6 at its relaxed geometry from Alexandria. Energies are from PBE.

Size of the total moment: 0.0 μB per formula unit
Raw formation energy: -1.734 eV per atom
Space group: C2/m, No. 12

a = 7.446 Å, b = 7.446 Å, c = 8.385 Å
α = 98.52°, β = 98.52°, γ = 120.01°
Fractional coordinates of all 12 atoms:
Se1 0.934 0.591 0.802
Se2 0.066 0.409 0.198
Se3 0.277 0.277 0.803
Dy1 0.333 0.667 0.000
Se4 0.591 0.934 0.802
Se5 0.723 0.723 0.197
Rb1 0.165 0.835 0.500
Dy2 0.667 0.333 0.000
Rb2 0.500 0.500 0.500
Rb3 0.835 0.165 0.500
Pr1 0.000 0.000 0.000
Se6 0.409 0.066 0.198

***

(4)
Here is crystalline Rb2PrDySe4 at its relaxed geometry from Alexandria. Energies are from PBE.

Size of the total moment: 0.0 μB per formula unit
Raw formation energy: -1.731 eV per atom
Space group: P2/m, No. 10

a = 4.327 Å, b = 7.496 Å, c = 8.395 Å
α = 107.31°, β = 90.00°, γ = 90.00°
Fractional coordinates of all 8 atoms:
Se1 0.500 0.776 0.803
Rb1 0.500 0.000 0.500
Rb2 0.000 0.500 0.500
Se2 0.000 0.742 0.201
Dy1 0.000 0.000 0.000
Se3 0.500 0.224 0.197
Pr1 0.500 0.500 0.000
Se4 0.000 0.258 0.799

***

(5)
Here is crystalline RbPrDy4Se8 at its relaxed geometry from Alexandria. Energies are from PBE.

Size of the total moment: 0.0 μB per formula unit
Raw formation energy: -1.718 eV per atom
Space group: R3m, No. 160

a = 8.616 Å, b = 8.616 Å, c = 8.784 Å
α = 60.63°, β = 60.63°, γ = 60.00°
Fractional coordinates of all 14 atoms:
Dy1 0.004 0.487 0.505
Se1 0.800 0.240 0.720
Se2 0.230 0.230 0.310
Se3 0.240 0.240 0.720
Pr1 0.005 0.005 0.984
Se4 0.232 0.753 0.262
Se5 0.753 0.753 0.262
Rb1 0.369 0.369 0.893
Se6 0.757 0.757 0.729
Dy2 0.626 0.626 0.122
Dy3 0.487 0.004 0.505
Dy4 0.004 0.004 0.505
Se7 0.240 0.800 0.720
Se8 0.753 0.232 0.262

***

(6)
Here is crystalline RbPr2Dy3Te6 at its relaxed geometry from Alexandria. Energies are from PBE.

Size of the total moment: 0.0 μB per formula unit
Raw formation energy: -1.335 eV per atom
Space group: C2/m, No. 12

a = 4.410 Å, b = 9.282 Å, c = 10.193 Å
α = 105.03°, β = 102.49°, γ = 90.00°
Fractional coordinates of all 12 atoms:
Te1 0.324 0.920 0.647
Dy1 0.500 0.500 0.000
Pr1 0.826 0.648 0.653
Pr2 0.174 0.352 0.347
Dy2 0.837 0.175 0.673
Te2 0.339 0.406 0.678
Rb1 0.500 0.000 0.000
Te3 0.676 0.080 0.353
Te4 0.000 0.274 0.000
Te5 0.000 0.726 0.000
Te6 0.661 0.594 0.322
Dy3 0.163 0.825 0.327

***

D(E_F) (states/eV/f.u.)
0.00 0.00 0.00 0.00 0.00 4.08
V (Å³ per atom)
29.04 31.83 32.04 32.50 33.24 32.72